Crystalline Tb4Y3 at its relaxed geometry, computed with GGA-PBE.

Computed properties:
E_tot ... -5.285 eV/atom
SG ... No. 12
Energy of formation from the pure elements ... 0.131 eV/atom

Unit cell a=3.495 b=8.720 c=9.202 alpha=123.22 beta=100.95 gamma=90.00
Atoms (fractional coordinates):
Tb: 0.078 0.456 0.156
Tb: 0.922 0.544 0.844
Tb: 0.365 0.138 0.729
Tb: 0.635 0.862 0.271
Y: 0.000 0.000 0.000
Y: 0.222 0.294 0.444
Y: 0.778 0.706 0.556

Crystalline Na5Cd12Pb2 at its relaxed geometry, computed with GGA-PBE.

Computed properties:
E_tot ... -1.362 eV/atom
SG ... No. 12
Energy of formation from the pure elements ... -0.047 eV/atom

Unit cell a=7.537 b=7.592 c=9.589 alpha=66.68 beta=86.99 gamma=90.00
Atoms (fractional coordinates):
Na: 0.562 0.753 0.495
Na: 0.036 0.692 0.615
Na: 0.500 0.000 0.000
Na: 0.964 0.308 0.385
Na: 0.438 0.247 0.505
Cd: 0.099 0.137 0.726
Cd: 0.741 0.341 0.700
Cd: 0.741 0.958 0.700
Cd: 0.353 0.415 0.769
Cd: 0.353 0.816 0.769
Cd: 0.674 0.548 0.905
Cd: 0.326 0.452 0.095
Cd: 0.647 0.585 0.231
Cd: 0.647 0.184 0.231
Cd: 0.259 0.659 0.300
Cd: 0.259 0.042 0.300
Cd: 0.901 0.863 0.274
Pb: 0.000 0.737 0.000
Pb: 0.000 0.263 0.000

Crystalline CeHfSc at its relaxed geometry, computed with GGA-PBE.

Computed properties:
E_tot ... -7.342 eV/atom
SG ... No. 156
Energy of formation from the pure elements ... 0.064 eV/atom

Unit cell a=3.245 b=3.245 c=16.085 alpha=90.00 beta=90.00 gamma=120.00
Atoms (fractional coordinates):
Ce: 0.667 0.333 0.661
Ce: 0.333 0.667 0.488
Hf: 0.667 0.333 0.151
Hf: 0.000 0.000 0.999
Sc: 0.000 0.000 0.312
Sc: 0.333 0.667 0.838

Crystalline La5NdSn6 at its relaxed geometry, computed with GGA-PBE.

Computed properties:
E_tot ... -5.179 eV/atom
SG ... No. 71
Energy of formation from the pure elements ... -0.727 eV/atom

Unit cell a=5.096 b=10.499 c=9.273 alpha=55.52 beta=74.05 gamma=60.95
Atoms (fractional coordinates):
La: 0.500 0.167 0.666
La: 0.000 0.333 0.334
La: 0.500 0.500 0.000
La: 0.000 0.667 0.666
La: 0.500 0.833 0.334
Nd: 0.000 0.000 0.000
Sn: 0.751 0.084 0.330
Sn: 0.249 0.586 0.330
Sn: 0.252 0.248 0.000
Sn: 0.748 0.752 0.000
Sn: 0.751 0.414 0.670
Sn: 0.249 0.916 0.670

Crystalline Cd2HgI2 at its relaxed geometry, computed with GGA-PBE.

Computed properties:
E_tot ... -1.316 eV/atom
SG ... No. 127
E_form (uncorrected) ... -0.270 eV/atom

Unit cell a=9.544 b=9.544 c=4.359 alpha=90.00 beta=90.00 gamma=90.00
Atoms (fractional coordinates):
I: 0.258 0.758 0.500
I: 0.758 0.742 0.500
I: 0.742 0.242 0.500
I: 0.242 0.258 0.500
Hg: 0.000 0.000 0.000
Hg: 0.500 0.500 0.000
Cd: 0.400 0.900 0.000
Cd: 0.900 0.600 0.000
Cd: 0.600 0.100 0.000
Cd: 0.100 0.400 0.000

Crystalline Pr2Zn5Pb at its relaxed geometry, computed with GGA-PBE.

Computed properties:
E_tot ... -2.824 eV/atom
SG ... No. 63
Energy of formation from the pure elements ... -0.370 eV/atom

Unit cell a=8.687 b=8.687 c=9.159 alpha=90.00 beta=90.00 gamma=149.77
Atoms (fractional coordinates):
Pr: 0.206 0.794 0.250
Pr: 0.794 0.206 0.750
Pr: 0.000 0.000 0.500
Pr: 0.000 0.000 0.000
Zn: 0.816 0.184 0.391
Zn: 0.184 0.816 0.609
Zn: 0.816 0.184 0.109
Zn: 0.184 0.816 0.891
Zn: 0.660 0.340 0.486
Zn: 0.340 0.660 0.514
Zn: 0.660 0.340 0.014
Zn: 0.340 0.660 0.986
Zn: 0.392 0.608 0.250
Zn: 0.608 0.392 0.750
Pb: 0.555 0.445 0.250
Pb: 0.445 0.555 0.750